# 1
A relaxed structure of V2NiOs2. Source: Alexandria, functional PBE-GGA.

Unit cell a=7.073 b=7.073 c=2.871 alpha=90.00 beta=90.00 gamma=90.00
Space group P4/mbm (No. 127)
Symmetry-distinct sites (fractional):
V: 0.158 0.342 0.000 (multiplicity 4)
Ni: 0.000 0.000 0.500 (multiplicity 2)
Os: 0.141 0.641 0.500 (multiplicity 4)

- E (eV/atom) = -9.20
- energy relative to the elements (eV per atom) = 0.10
- Fermi-level density of states (states/eV/atom) = 1.069

# 2
A relaxed structure of VNi2Os. Source: Alexandria, functional PBE-GGA.

Unit cell a=5.841 b=5.841 c=5.841 alpha=90.00 beta=90.00 gamma=90.00
Space group Fm-3m (No. 225)
Symmetry-distinct sites (fractional):
V: 0.000 0.000 0.000 (multiplicity 4)
Ni: 0.250 0.250 0.250 (multiplicity 8)
Os: 0.000 0.000 0.500 (multiplicity 4)

- E (eV/atom) = -7.83
- energy relative to the elements (eV per atom) = 0.15
- excess energy over the best structure of this formula in the dataset (meV per atom) = 306
- Fermi-level density of states (states/eV/atom) = 1.694

# 3
A relaxed structure of VNiOs. Source: Alexandria, functional PBE-GGA.

Unit cell a=3.048 b=3.048 c=8.406 alpha=90.00 beta=90.00 gamma=90.00
Space group I4mm (No. 107)
Symmetry-distinct sites (fractional):
V: 0.000 0.000 0.000 (multiplicity 2)
Ni: 0.000 0.000 0.657 (multiplicity 2)
Os: 0.000 0.000 0.342 (multiplicity 2)

- E (eV/atom) = -8.76
- energy relative to the elements (eV per atom) = -0.05
- excess energy over the best structure of this formula in the dataset (meV per atom) = 183
- Fermi-level density of states (states/eV/atom) = 1.670

# 4
A relaxed structure of V2Ni4Os. Source: Alexandria, functional PBE-GGA.

Unit cell a=4.497 b=4.497 c=11.430 alpha=90.00 beta=90.00 gamma=90.00
Space group I4/mmm (No. 139)
Symmetry-distinct sites (fractional):
V: 0.000 0.000 0.097 (multiplicity 4)
Ni: 0.000 0.000 0.291 (multiplicity 4)
Ni: 0.000 0.500 0.000 (multiplicity 4)
Os: 0.000 0.000 0.500 (multiplicity 2)

- E (eV/atom) = -6.39
- energy relative to the elements (eV per atom) = 1.12
- Fermi-level density of states (states/eV/atom) = 1.363

# 5
A relaxed structure of V2NiOs. Source: Alexandria, functional PBE-GGA.

Unit cell a=3.082 b=3.082 c=5.471 alpha=90.00 beta=90.00 gamma=90.00
Space group P4/mmm (No. 123)
Symmetry-distinct sites (fractional):
V: 0.000 0.000 0.235 (multiplicity 2)
Ni: 0.500 0.500 0.000 (multiplicity 1)
Os: 0.500 0.500 0.500 (multiplicity 1)

- E (eV/atom) = -8.98
- energy relative to the elements (eV per atom) = -0.17
- Fermi-level density of states (states/eV/atom) = 1.316

# 6
A relaxed structure of VNiOs2. Source: Alexandria, functional PBE-GGA.

Unit cell a=3.732 b=3.732 c=17.100 alpha=90.00 beta=90.00 gamma=90.00
Space group I-42d (No. 122)
Symmetry-distinct sites (fractional):
V: 0.000 0.000 0.000 (multiplicity 4)
Ni: 0.000 0.000 0.500 (multiplicity 4)
Os: 0.216 0.250 0.625 (multiplicity 8)

- E (eV/atom) = -8.79
- energy relative to the elements (eV per atom) = 0.55
- Fermi-level density of states (states/eV/atom) = 1.167